Record 1
Below is a geometry-optimized Ce3I3N structure, with properties calculated at the PBE level.

Summary:
SG   No. 11
DOS(E_F)   2.616 states/eV per atom
ΔE_f (raw)   -803 kJ/mol of formula units
Theoretical density   6.5 g/cm³

Cell lengths 3.920, 8.853, 12.096 Å; angles 93.01, 90.00, 90.00 degrees
Fractional positions:
N (0.750, 0.111, 0.609)
N (0.250, 0.889, 0.391)
Ce (0.250, 0.891, 0.191)
Ce (0.750, 0.086, 0.402)
Ce (0.750, 0.109, 0.809)
Ce (0.250, 0.298, 0.612)
Ce (0.750, 0.702, 0.388)
Ce (0.250, 0.914, 0.598)
I (0.750, 0.150, 0.122)
I (0.250, 0.388, 0.361)
I (0.750, 0.612, 0.639)
I (0.750, 0.621, 0.127)
I (0.250, 0.379, 0.873)
I (0.250, 0.850, 0.878)

***

Record 2
Below is a geometry-optimized Ce2IN2 structure, with properties calculated at the PBE level.

Summary:
SG   No. 139
DOS(E_F)   1.728 states/eV per atom
ΔE_f (raw)   -746 kJ/mol of formula units
E above lowest polymorph   0.000 eV per atom
Theoretical density   6.3 g/cm³

Cell lengths 4.098, 4.098, 7.433 Å; angles 105.96, 105.96, 90.00 degrees
Fractional positions:
N (0.750, 0.250, 0.500)
N (0.250, 0.750, 0.500)
I (0.000, 0.000, 0.000)
Ce (0.674, 0.674, 0.347)
Ce (0.326, 0.326, 0.653)

***

Record 3
Below is a geometry-optimized Ce2IN2 structure, with properties calculated at the PBE level.

Summary:
SG   No. 123
DOS(E_F)   1.484 states/eV per atom
ΔE_f (raw)   -384 kJ/mol of formula units
E above lowest polymorph   0.749 eV per atom
Theoretical density   6.7 g/cm³

Cell lengths 3.911, 3.911, 7.072 Å; angles 90.00, 90.00, 90.00 degrees
Fractional positions:
N (0.000, 0.500, 0.500)
N (0.500, 0.000, 0.500)
Ce (0.500, 0.500, 0.309)
Ce (0.500, 0.500, 0.691)
I (0.000, 0.000, 0.000)

***

Record 4
Below is a geometry-optimized CeNdIN structure, with properties calculated at the PBE level.

Summary:
SG   No. 160
DOS(E_F)   0.983 states/eV per atom
ΔE_f (raw)   -456 kJ/mol of formula units
Theoretical density   7.4 g/cm³

Cell lengths 3.771, 3.772, 8.022 Å; angles 89.99, 103.59, 120.02 degrees
Fractional positions:
Ce (0.081, 0.938, 0.034)
N (0.311, 0.553, 0.879)
I (0.969, 0.383, 0.367)
Nd (0.518, 0.157, 0.690)